DFT (GGA-PBE) results for a geometry-optimized Cu2SbMo structure.

The structure belongs to space group Pmm2 (No. 25); the cell edges are 2.873, 4.311 and 5.206 Å and the angles 90.00°, 90.00° and 90.00°. Symmetry generates all atoms from Cu at (0.000, 0.000, 0.000), Cu at (0.000, 0.500, 0.217), Sb at (0.000, 0.000, 0.514) and Mo at (0.500, 0.500, 0.758).

As for the total moment: 0.00 μB/f.u. For the uncorrected energy, the calculation gives -5.45 eV/atom.

---

DFT (GGA-PBE) results for a geometry-optimized CeMg6Cd4 structure.

The structure belongs to space group P-6m2 (No. 187); the cell edges are 9.5596, 9.5596 and 3.2816 Å and the angles 90.00°, 90.00° and 120.00°. Symmetry generates all atoms from Ce at (0.0000, 0.0000, 0.0000), Mg at (0.1855, 0.3709, 0.5000), Mg at (0.5216, 0.0432, 0.0000), Cd at (0.3333, 0.6667, 0.0000) and Cd at (0.3531, 0.1766, 0.5000).

As for the total moment: 1.06 μB/f.u. The formation energy is -0.08 eV per atom.

---

DFT (GGA-PBE) results for a geometry-optimized Sc3ZnC structure.

The structure belongs to space group P1 (No. 1); the cell edges are 3.344, 7.417 and 7.700 Å and the angles 98.71°, 91.40° and 102.44°. Symmetry generates all atoms from Sc at (0.000, 0.000, 0.000), Sc at (0.093, 0.237, 0.626), Sc at (0.302, 0.614, 0.055), Sc at (0.662, 0.349, 0.300), Sc at (0.791, 0.617, 0.663), Sc at (0.902, 0.842, 0.361), Zn at (0.457, 0.946, 0.701), Zn at (0.651, 0.312, 0.925), C at (0.213, 0.465, 0.487) and C at (0.363, 0.613, 0.390).

As for the total moment: 0.00 μB/f.u. Its relative energy among the computed polymorphs is 165.5 meV/atom. The formation energy is -0.27 eV per atom.

---

- Look up the total moment of the second one.
  1.06 μB/f.u.

---

Please write out number 1 again, unchanged.
DFT (GGA-PBE) results for a geometry-optimized Cu2SbMo structure.

The structure belongs to space group Pmm2 (No. 25); the cell edges are 2.873, 4.311 and 5.206 Å and the angles 90.00°, 90.00° and 90.00°. Symmetry generates all atoms from Cu at (0.000, 0.000, 0.000), Cu at (0.000, 0.500, 0.217), Sb at (0.000, 0.000, 0.514) and Mo at (0.500, 0.500, 0.758).

As for the total moment: 0.00 μB/f.u. For the uncorrected energy, the calculation gives -5.45 eV/atom.